16
Lattice="6.0212 0.0000 0.0000 0.0000 6.0212 0.0000 0.0000 0.0000 8.7833" Properties=species:S:1:pos:R:3 comment="WSO2 (PBE with a Hubbard U, relaxed)" vol_a3_per_atom=19.9 e_tot_ev_per_atom=-5.731 crystal_system=tetragonal magmom_total_mub_per_cell=0.00 pbc="T T T"
W 0.0000 1.5053 3.2937
W 0.0000 4.5159 5.4896
W 3.0106 1.5053 1.0979
W 3.0106 4.5159 7.6854
S 0.0000 1.5053 7.6854
S 0.0000 4.5159 1.0979
S 3.0106 1.5053 5.4896
S 3.0106 4.5159 3.2937
O 0.0000 0.0000 4.3917
O 0.0000 3.0106 4.3917
O 1.5053 1.5053 2.1958
O 1.5053 4.5159 6.5875
O 3.0106 0.0000 0.0000
O 3.0106 3.0106 0.0000
O 4.5159 1.5053 2.1958
O 4.5159 4.5159 6.5875